Entry 1:
First-principles (PBE-GGA) data for crystalline In3Mo4 at its relaxed geometry, as listed in the Alexandria database.

Output
* formation energy: 0.65 eV per atom
* total magnetization: 0.000 μB/atom
* DOS(E_F): 5.4 states/eV/f.u.

a = 5.437 Å, b = 5.437 Å, c = 4.961 Å
α = 90.00°, β = 90.00°, γ = 120.00°
Positions (direct):
In: 0.000 0.500 0.000
In: 0.500 0.500 0.000
In: 0.500 0.000 0.000
Mo: 0.000 0.000 0.254
Mo: 0.000 0.000 0.746
Mo: 0.667 0.333 0.500
Mo: 0.333 0.667 0.500



Entry 2:
First-principles (PBE-GGA) data for crystalline InMo2 at its relaxed geometry, as listed in the Alexandria database.

Output
* formation energy: 0.53 eV per atom
* total magnetization: 0.001 μB/atom
* DOS(E_F): 3.8 states/eV/f.u.

a = 4.692 Å, b = 4.692 Å, c = 5.492 Å
α = 90.00°, β = 90.00°, γ = 120.00°
Positions (direct):
In: 0.333 0.667 0.250
In: 0.667 0.333 0.750
Mo: 0.000 0.000 0.000
Mo: 0.000 0.000 0.500
Mo: 0.333 0.667 0.750
Mo: 0.667 0.333 0.250



Entry 3:
First-principles (PBE-GGA) data for crystalline In5Mo at its relaxed geometry, as listed in the Alexandria database.

Output
* formation energy: 0.60 eV per atom
* total magnetization: 0.000 μB/atom
* DOS(E_F): 2.3 states/eV/f.u.

a = 5.811 Å, b = 5.811 Å, c = 5.811 Å
α = 60.00°, β = 60.00°, γ = 60.00°
Positions (direct):
In: 0.250 0.250 0.250
In: 0.626 0.626 0.626
In: 0.626 0.626 0.123
In: 0.123 0.626 0.626
In: 0.626 0.123 0.626
Mo: 0.000 0.000 0.000



Entry 4:
First-principles (PBE-GGA) data for crystalline InMo3 at its relaxed geometry, as listed in the Alexandria database.

Output
* formation energy: 0.31 eV per atom
* total magnetization: 0.000 μB/atom
* DOS(E_F): 2.9 states/eV/f.u.

a = 3.016 Å, b = 4.025 Å, c = 5.767 Å
α = 90.00°, β = 90.00°, γ = 90.00°
Positions (direct):
In: 0.000 0.000 0.000
Mo: 0.500 0.500 0.711
Mo: 0.000 0.000 0.500
Mo: 0.500 0.500 0.289



Entry 5:
First-principles (PBE-GGA) data for crystalline InMo3 at its relaxed geometry, as listed in the Alexandria database.

Output
* formation energy: 0.28 eV per atom
* total magnetization: 0.000 μB/atom
* DOS(E_F): 2.4 states/eV/f.u.

a = 5.805 Å, b = 5.805 Å, c = 9.354 Å
α = 90.00°, β = 90.00°, γ = 120.00°
Positions (direct):
Mo: 0.500 0.000 0.000
Mo: 0.500 0.000 0.500
Mo: 0.000 0.500 0.000
Mo: 0.500 0.500 0.000
Mo: 0.500 0.500 0.500
Mo: 0.000 0.500 0.500
Mo: 0.817 0.634 0.250
Mo: 0.183 0.366 0.750
Mo: 0.366 0.183 0.250
Mo: 0.817 0.183 0.250
Mo: 0.183 0.817 0.750
Mo: 0.634 0.817 0.750
In: 0.000 0.000 0.000
In: 0.000 0.000 0.500
In: 0.333 0.667 0.250
In: 0.667 0.333 0.750



Entry 6:
First-principles (PBE-GGA) data for crystalline InMo2 at its relaxed geometry, as listed in the Alexandria database.

Output
* formation energy: 0.42 eV per atom
* total magnetization: 0.000 μB/atom
* DOS(E_F): 2.1 states/eV/f.u.

a = 8.095 Å, b = 8.095 Å, c = 2.762 Å
α = 90.00°, β = 90.00°, γ = 120.00°
Positions (direct):
In: 0.333 0.667 0.000
In: 0.667 0.333 0.000
In: 0.000 0.000 0.500
Mo: 0.314 0.000 0.000
Mo: 0.000 0.314 0.000
Mo: 0.686 0.686 0.000
Mo: 0.648 0.000 0.500
Mo: 0.000 0.648 0.500
Mo: 0.352 0.352 0.500



Entry 7:
First-principles (PBE-GGA) data for crystalline InMo2 at its relaxed geometry, as listed in the Alexandria database.

Output
* formation energy: 0.17 eV per atom
* total magnetization: 0.000 μB/atom
* DOS(E_F): 2.3 states/eV/f.u.

a = 5.346 Å, b = 5.346 Å, c = 5.346 Å
α = 143.84°, β = 143.84°, γ = 52.06°
Positions (direct):
In: 0.500 0.500 0.000
Mo: 0.815 0.815 0.000
Mo: 0.185 0.185 0.000



Entry 8:
First-principles (PBE-GGA) data for crystalline In5Mo at its relaxed geometry, as listed in the Alexandria database.

Output
* formation energy: 0.25 eV per atom
* total magnetization: 0.129 μB/atom
* DOS(E_F): 4.7 states/eV/f.u.

a = 3.096 Å, b = 3.096 Å, c = 14.960 Å
α = 90.00°, β = 90.00°, γ = 90.00°
Last column: magnetic moment on the atom in μB.
Positions (direct):
In: 0.000 0.000 0.867  0.01
In: 0.000 0.000 0.133  0.01
In: 0.500 0.500 0.687  0.00
In: 0.500 0.500 0.313  0.00
In: 0.000 0.000 0.500  0.00
Mo: 0.500 0.500 0.000  0.62